Entry from Alexandria: NaPrHo4Se8 after structural relaxation (GGA-PBE).

Energy (eV/atom): -5.492
Uncorrected formation energy (eV per atom): -1.757
Space-group type: No. 160
Total magnetization (μB per formula unit): 0.0
D(E_F) (states/eV/cell): 0.0

Cell and atoms, written as CIF:
```
data_NaPrHo4Se8
_chemical_formula_sum 'Na1 Pr1 Ho4 Se8'
_space_group_name_H-M_alt 'P 1'
_space_group_IT_number 1
_cell_length_a 8.435
_cell_length_b 8.435
_cell_length_c 8.557
_cell_angle_alpha 60.47
_cell_angle_beta 60.47
_cell_angle_gamma 60.00
loop_
_space_group_symop_operation_xyz
'x,y,z'
loop_
_atom_site_label
_atom_site_fract_x
_atom_site_fract_y
_atom_site_fract_z
Na1 0.372 0.372 0.883
Pr1 0.004 0.004 0.987
Ho1 0.626 0.626 0.121
Ho2 0.005 0.485 0.505
Ho3 0.485 0.005 0.505
Ho4 0.005 0.005 0.505
Se1 0.247 0.778 0.729
Se2 0.778 0.247 0.729
Se3 0.247 0.247 0.729
Se4 0.239 0.239 0.283
Se5 0.751 0.230 0.267
Se6 0.230 0.751 0.267
Se7 0.751 0.751 0.267
Se8 0.758 0.758 0.725
```